<P>
# NaBeCr3, relaxed, DFT PBE
data_NaBeCr3
_chemical_formula_sum 'Na1 Be1 Cr3'
_cell_length_a 4.842
_cell_length_b 4.842
_cell_length_c 4.842
_cell_angle_alpha 90.00
_cell_angle_beta 90.00
_cell_angle_gamma 90.00
_symmetry_space_group_name_H-M 'P 1'
_symmetry_Int_Tables_number 1
_symmetry_space_group_name_Hall 'P 1'
loop_
_atom_site_label
_atom_site_type_symbol
_atom_site_fract_x
_atom_site_fract_y
_atom_site_fract_z
Na1 Na 0.000 0.000 0.000
Be1 Be 0.500 0.500 0.500
Cr1 Cr 0.000 0.000 0.500
Cr2 Cr 0.000 0.500 0.000
Cr3 Cr 0.500 0.000 0.000
# Space-group type: Pm-3m
# M_tot: 13.32 μB per formula unit
# Density of states at the Fermi level: 3.3 states/eV/cell


<Q>
# NaBeCr3, relaxed, DFT PBE
data_NaBeCr3
_chemical_formula_sum 'Na1 Be1 Cr3'
_cell_length_a 4.123
_cell_length_b 4.123
_cell_length_c 4.123
_cell_angle_alpha 90.00
_cell_angle_beta 90.00
_cell_angle_gamma 90.00
_symmetry_space_group_name_H-M 'P 1'
_symmetry_Int_Tables_number 1
_symmetry_space_group_name_Hall 'P 1'
loop_
_atom_site_label
_atom_site_type_symbol
_atom_site_fract_x
_atom_site_fract_y
_atom_site_fract_z
Na1 Na 0.000 0.000 0.000
Be1 Be 0.500 0.500 0.500
Cr1 Cr 0.000 0.500 0.500
Cr2 Cr 0.500 0.000 0.500
Cr3 Cr 0.500 0.500 0.000
# Space-group type: Pm-3m
# M_tot: 1.13 μB per formula unit
# Density of states at the Fermi level: 6.4 states/eV/cell


Which structure is most stable? <Q>, by 0.898 eV/atom over the runner-up.